First-principles (PBE) data for a geometry-optimized SrPbCl2F structure, as listed in Alexandria.

Cell lengths 5.350, 8.365, 5.350 Å; angles 90.00, 90.00, 90.00 degrees
Last column: magnetic moment on the atom in μB.
Atoms (fractional coordinates):
Pb: 0.000 0.500 0.000  0.35
Sr: 0.000 0.000 0.000  0.01
F: 0.500 0.500 0.500  -0.02
Cl: 0.000 0.000 0.500  0.01
Cl: 0.500 0.000 0.000  0.01

## Properties
Energy in eV/atom: -3.34
Symmetry: P4/mmm (123)
ΔE_f (raw) in eV/atom: -1.149
Fermi-level density of states in states/eV per cell: 0.00
Calculated volume in Å³/f.u.: 239.40

---

First-principles (PBE) data for a geometry-optimized Tc2PbClF structure, as listed in Alexandria.

Cell lengths 4.240, 5.475, 4.240 Å; angles 90.00, 90.00, 90.00 degrees
Last column: magnetic moment on the atom in μB.
Atoms (fractional coordinates):
Pb: 0.500 0.500 0.500  -0.06
F: 0.000 0.000 0.000  0.03
Tc: 0.000 0.000 0.500  1.98
Tc: 0.500 0.000 0.000  2.01
Cl: 0.000 0.500 0.000  0.05

## Properties
Energy in eV/atom: -5.08
Symmetry: P4/mmm (123)
ΔE_f (raw) in eV/atom: 0.550
Fermi-level density of states in states/eV per cell: 4.25
Calculated volume in Å³/f.u.: 98.42

---

First-principles (PBE) data for a geometry-optimized TlPb2ClF4 structure, as listed in Alexandria.

Cell lengths 4.117, 4.117, 10.275 Å; angles 90.00, 90.00, 90.00 degrees
Atoms (fractional coordinates):
Tl: 0.000 0.000 0.000
Pb: 0.500 0.500 0.312
Pb: 0.500 0.500 0.688
Cl: 0.000 0.000 0.500
F: 0.000 0.500 0.196
F: 0.500 0.000 0.804
F: 0.500 0.000 0.196
F: 0.000 0.500 0.804

## Properties
Energy in eV/atom: -4.38
Symmetry: P4/mmm (123)
ΔE_f (raw) in eV/atom: -1.989
Fermi-level density of states in states/eV per cell: 0.00
Calculated volume in Å³/f.u.: 174.14

---

First-principles (PBE) data for a geometry-optimized Tl2PbCl2F2 structure, as listed in Alexandria.

Cell lengths 4.815, 4.815, 9.101 Å; angles 105.34, 105.34, 90.00 degrees
Atoms (fractional coordinates):
Tl: 0.358 0.358 0.716
Tl: 0.642 0.642 0.284
Pb: 0.000 0.000 0.000
Cl: 0.175 0.175 0.351
Cl: 0.825 0.825 0.649
F: 0.000 0.500 0.000
F: 0.500 0.000 0.000

## Properties
Energy in eV/atom: -3.82
Symmetry: I4/mmm (139)
ΔE_f (raw) in eV/atom: -1.556
Fermi-level density of states in states/eV per cell: 0.00
Calculated volume in Å³/f.u.: 195.65